No. 1
PuHfMnFe: optimized geometry, PBE.

## Properties
For the total energy, the calculation gives -10.491 eV per atom. As for the space-group type: F-43m. For the calculated volume, the calculation gives 16.799 Å³ per atom.

Cell lengths 4.563, 4.563, 4.563 Å; angles 60.00, 60.00, 60.00 degrees
Fractional positions:
Pu1 0.000 0.000 0.000
Hf1 0.500 0.500 0.500
Mn1 0.750 0.750 0.750
Fe1 0.250 0.250 0.250

---

No. 2
HfMnFeRu2: optimized geometry, PBE.

## Properties
For the total energy, the calculation gives -7.056 eV per atom. As for the space-group type: P4/mmm. For the calculated volume, the calculation gives 19.374 Å³ per atom.

Cell lengths 4.676, 4.676, 4.430 Å; angles 90.00, 90.00, 90.00 degrees
Fractional positions:
Hf1 0.000 0.000 0.000
Mn1 0.000 0.000 0.500
Fe1 0.500 0.500 0.500
Ru1 0.000 0.500 0.000
Ru2 0.500 0.000 0.000

---

No. 3
HfMnFeSb: optimized geometry, PBE.

## Properties
For the total energy, the calculation gives -8.107 eV per atom. As for the space-group type: F-43m. As for the uncorrected formation energy: -0.18 eV/atom. For the calculated volume, the calculation gives 14.903 Å³ per atom.

Cell lengths 4.385, 4.385, 4.385 Å; angles 60.00, 60.00, 60.00 degrees
Fractional positions:
Hf1 0.000 0.000 0.000
Mn1 0.750 0.750 0.750
Fe1 0.250 0.250 0.250
Sb1 0.500 0.500 0.500

---

No. 4
Hf2MnFeSi: optimized geometry, PBE.

## Properties
For the total energy, the calculation gives -8.202 eV per atom. As for the space-group type: P4/mmm. As for the uncorrected formation energy: 0.39 eV/atom. For the calculated volume, the calculation gives 18.541 Å³ per atom.

Cell lengths 4.743, 4.743, 4.121 Å; angles 90.00, 90.00, 90.00 degrees
Fractional positions:
Hf1 0.000 0.500 0.000
Hf2 0.500 0.000 0.000
Mn1 0.000 0.000 0.500
Fe1 0.000 0.000 0.000
Si1 0.500 0.500 0.500

---

No. 5
HfMnFeSi: optimized geometry, PBE.

## Properties
For the total energy, the calculation gives -8.649 eV per atom. As for the space-group type: F-43m. As for the uncorrected formation energy: -0.40 eV/atom. For the calculated volume, the calculation gives 13.020 Å³ per atom.

Cell lengths 4.192, 4.192, 4.192 Å; angles 60.00, 60.00, 60.00 degrees
Fractional positions:
Hf1 0.000 0.000 0.000
Mn1 0.250 0.250 0.250
Fe1 0.750 0.750 0.750
Si1 0.500 0.500 0.500

---

No. 6
HfTaMnFe: optimized geometry, PBE.

## Properties
For the total energy, the calculation gives -10.107 eV per atom. As for the space-group type: P4mm. For the calculated volume, the calculation gives 14.866 Å³ per atom.

Cell lengths 3.096, 3.096, 6.202 Å; angles 90.00, 90.00, 90.00 degrees
Fractional positions:
Hf1 0.000 0.000 0.000
Ta1 0.000 0.000 0.503
Mn1 0.500 0.500 0.738
Fe1 0.500 0.500 0.260

---

No. 7
YHfMnFe2: optimized geometry, PBE.

## Properties
For the total energy, the calculation gives -6.706 eV per atom. As for the space-group type: P4/mmm. For the calculated volume, the calculation gives 21.729 Å³ per atom. The value obtained for the energy above the most stable polymorph in this dataset is 0.0 meV per atom.

Cell lengths 4.498, 4.498, 5.369 Å; angles 90.00, 90.00, 90.00 degrees
Fractional positions:
Y1 0.000 0.000 0.000
Hf1 0.000 0.000 0.500
Mn1 0.500 0.500 0.000
Fe1 0.000 0.500 0.500
Fe2 0.500 0.000 0.500

---

No. 8
YHfMnFe2: optimized geometry, PBE.

## Properties
For the total energy, the calculation gives -6.131 eV per atom. As for the space-group type: P4/mmm. For the calculated volume, the calculation gives 19.493 Å³ per atom. The value obtained for the energy above the most stable polymorph in this dataset is 574.7 meV per atom.

Cell lengths 4.378, 4.378, 5.086 Å; angles 90.00, 90.00, 90.00 degrees
Fractional positions:
Y1 0.000 0.000 0.000
Hf1 0.000 0.000 0.500
Mn1 0.500 0.500 0.500
Fe1 0.000 0.500 0.000
Fe2 0.500 0.000 0.000

---

No. 9
Hf2Mn2ZnFe5: optimized geometry, PBE.

## Properties
For the total energy, the calculation gives -8.127 eV per atom. As for the space-group type: P4/mbm. For the calculated volume, the calculation gives 13.697 Å³ per atom.

Cell lengths 8.768, 8.768, 3.563 Å; angles 90.00, 90.00, 90.00 degrees
Fractional positions:
Hf1 0.181 0.319 0.000
Hf2 0.319 0.819 0.000
Hf3 0.681 0.181 0.000
Hf4 0.819 0.681 0.000
Mn1 0.114 0.614 0.000
Mn2 0.386 0.114 0.000
Mn3 0.614 0.886 0.000
Mn4 0.886 0.386 0.000
Zn1 0.000 0.000 0.000
Zn2 0.500 0.500 0.000
Fe1 0.000 0.500 0.500
Fe2 0.061 0.793 0.500
Fe3 0.207 0.061 0.500
Fe4 0.293 0.561 0.500
Fe5 0.439 0.293 0.500
Fe6 0.500 0.000 0.500
Fe7 0.561 0.707 0.500
Fe8 0.707 0.439 0.500
Fe9 0.793 0.939 0.500
Fe10 0.939 0.207 0.500

---

No. 10
HfFe2Mo2: optimized geometry, PBE.

## Properties
For the total energy, the calculation gives -9.579 eV per atom. As for the space-group type: P4/mbm. For the calculated volume, the calculation gives 14.739 Å³ per atom. The value obtained for the energy above the most stable polymorph in this dataset is 0.0 meV per atom.

Cell lengths 7.133, 7.133, 2.897 Å; angles 90.00, 90.00, 90.00 degrees
Fractional positions:
Hf1 0.000 0.000 0.000
Hf2 0.500 0.500 0.000
Fe1 0.127 0.373 0.000
Fe2 0.373 0.873 0.000
Fe3 0.627 0.127 0.000
Fe4 0.873 0.627 0.000
Mo1 0.168 0.668 0.500
Mo2 0.332 0.168 0.500
Mo3 0.668 0.832 0.500
Mo4 0.832 0.332 0.500

---

No. 11
HfFeMo3: optimized geometry, PBE.

## Properties
For the total energy, the calculation gives -9.378 eV per atom. As for the space-group type: Pm-3m. For the calculated volume, the calculation gives 18.117 Å³ per atom.

Cell lengths 4.491, 4.491, 4.491 Å; angles 90.00, 90.00, 90.00 degrees
Fractional positions:
Hf1 0.000 0.000 0.000
Fe1 0.500 0.500 0.500
Mo1 0.000 0.500 0.500
Mo2 0.500 0.000 0.500
Mo3 0.500 0.500 0.000

---

No. 12
Hf5Fe4Mo: optimized geometry, PBE.

## Properties
For the total energy, the calculation gives -9.695 eV per atom. As for the space-group type: P4/mmm. For the calculated volume, the calculation gives 16.027 Å³ per atom.

Cell lengths 3.163, 3.163, 16.015 Å; angles 90.00, 90.00, 90.00 degrees
Fractional positions:
Hf1 0.000 0.000 0.000
Hf2 0.000 0.000 0.196
Hf3 0.000 0.000 0.391
Hf4 0.000 0.000 0.609
Hf5 0.000 0.000 0.804
Fe1 0.500 0.500 0.097
Fe2 0.500 0.500 0.291
Fe3 0.500 0.500 0.709
Fe4 0.500 0.500 0.903
Mo1 0.500 0.500 0.500